A plane-wave DFT calculation with PBE was carried out for a geometry-optimized GdSnRh2 structure.

a b c (Å): 6.690 6.690 6.690
angles (deg): 90.00 90.00 90.00
Space group Fm-3m (No. 225)
Asymmetric unit:
Gd (0.000, 0.000, 0.000)
Sn (0.000, 0.000, 0.500)
Rh (0.250, 0.250, 0.250)

## Properties
calculated volume	18.71	Å³ per atom
total magnetization	7.114	μB/f.u.

---

A plane-wave DFT calculation with PBE was carried out for a geometry-optimized GdTmSnRh structure.

a b c (Å): 7.202 7.202 7.202
angles (deg): 90.00 90.00 90.00
Space group F-43m (No. 216)
Asymmetric unit:
Gd (0.000, 0.000, 0.000)
Tm (0.000, 0.000, 0.500)
Sn (0.250, 0.250, 0.750)
Rh (0.250, 0.250, 0.250)

## Properties
calculated volume	23.34	Å³ per atom
total magnetization	7.071	μB/f.u.

---

A plane-wave DFT calculation with PBE was carried out for a geometry-optimized GdZnSnRh structure.

a b c (Å): 6.780 6.780 6.780
angles (deg): 90.00 90.00 90.00
Space group F-43m (No. 216)
Asymmetric unit:
Gd (0.000, 0.000, 0.000)
Zn (0.250, 0.250, 0.750)
Sn (0.000, 0.000, 0.500)
Rh (0.250, 0.250, 0.250)

## Properties
calculated volume	19.48	Å³ per atom
total magnetization	7.142	μB/f.u.

---

A plane-wave DFT calculation with PBE was carried out for a geometry-optimized SrGd3Rh structure.

a b c (Å): 5.563 5.563 5.563
angles (deg): 90.00 90.00 90.00
Space group Pm-3m (No. 221)
Asymmetric unit:
Sr (0.000, 0.000, 0.000)
Gd (0.000, 0.500, 0.500)
Rh (0.500, 0.500, 0.500)

## Properties
calculated volume	34.43	Å³ per atom
total magnetization	21.771	μB/f.u.

---

A plane-wave DFT calculation with PBE was carried out for a geometry-optimized TbGd3Rh structure.

a b c (Å): 5.452 5.452 5.452
angles (deg): 90.00 90.00 90.00
Space group Pm-3m (No. 221)
Asymmetric unit:
Tb (0.000, 0.000, 0.000)
Gd (0.000, 0.500, 0.500)
Rh (0.500, 0.500, 0.500)

## Properties
calculated volume	32.41	Å³ per atom
total magnetization	22.560	μB/f.u.

---

A plane-wave DFT calculation with PBE was carried out for a geometry-optimized Tb3GdRh structure.

a b c (Å): 5.429 5.429 5.429
angles (deg): 90.00 90.00 90.00
Space group Pm-3m (No. 221)
Asymmetric unit:
Tb (0.000, 0.000, 0.500)
Gd (0.500, 0.500, 0.500)
Rh (0.000, 0.000, 0.000)

## Properties
calculated volume	32.01	Å³ per atom
total magnetization	8.228	μB/f.u.

---

A plane-wave DFT calculation with PBE was carried out for a geometry-optimized TbGdTcRh structure.

a b c (Å): 6.883 6.883 6.883
angles (deg): 90.00 90.00 90.00
Space group F-43m (No. 216)
Asymmetric unit:
Tb (0.000, 0.000, 0.000)
Gd (0.000, 0.000, 0.500)
Tc (0.250, 0.250, 0.750)
Rh (0.250, 0.250, 0.250)

## Properties
calculated volume	20.38	Å³ per atom
total magnetization	7.009	μB/f.u.

---

A plane-wave DFT calculation with PBE was carried out for a geometry-optimized TbGdTlRh structure.

a b c (Å): 7.288 7.288 7.288
angles (deg): 90.00 90.00 90.00
Space group F-43m (No. 216)
Asymmetric unit:
Tb (0.000, 0.000, 0.000)
Gd (0.000, 0.000, 0.500)
Tl (0.250, 0.250, 0.750)
Rh (0.250, 0.250, 0.250)

## Properties
calculated volume	24.19	Å³ per atom
total magnetization	7.057	μB/f.u.

---

| no. | DFT total energy (eV/atom) |
| --- | --- |
| 1 | -8.940 |
| 2 | -8.128 |
| 3 | -7.195 |
| 4 | -10.526 |
| 5 | -11.044 |
| 6 | -7.296 |
| 7 | -9.386 |
| 8 | -7.581 |